# 1
# PBE Ac2In3Ga6, relaxed
data_Ac2In3Ga6
_space_group_name_H-M_alt 'C m m m'
_space_group_IT_number 65
_space_group_name_Hall '-C 2 2'
_cell_length_a 10.242
_cell_length_b 11.958
_cell_length_c 4.553
_cell_angle_alpha 90.00
_cell_angle_beta 90.00
_cell_angle_gamma 90.00
loop_
_atom_site_label
_atom_site_fract_x
_atom_site_fract_y
_atom_site_fract_z
Ac1 0.000 0.213 0.000
In1 0.000 0.500 0.500
In2 0.217 0.500 0.000
Ga1 0.115 0.000 0.500
Ga2 0.210 0.346 0.500
# density of states at the Fermi level	4.46	states/eV/f.u.
# calculated total energy	-3.42	eV/atom
# formation energy	-0.27	eV per atom

# 2
# PBE Co2NiP, relaxed
data_Co2NiP
_space_group_name_H-M_alt 'P 4 m m'
_space_group_IT_number 99
_space_group_name_Hall 'P 4 -2'
_cell_length_a 2.703
_cell_length_b 2.703
_cell_length_c 6.027
_cell_angle_alpha 90.00
_cell_angle_beta 90.00
_cell_angle_gamma 90.00
loop_
_atom_site_label
_atom_site_fract_x
_atom_site_fract_y
_atom_site_fract_z
Co1 0.000 0.000 0.000
Co2 0.500 0.500 0.276
Ni1 0.000 0.000 0.560
P1 0.500 0.500 0.783
# density of states at the Fermi level	3.53	states/eV/f.u.
# calculated total energy	-6.41	eV/atom
# formation energy	-0.06	eV per atom

# 3
# PBE LiEuPuPb, relaxed
data_LiEuPuPb
_space_group_name_H-M_alt 'F -4 3 m'
_space_group_IT_number 216
_space_group_name_Hall 'F -4 2 3'
_cell_length_a 7.792
_cell_length_b 7.792
_cell_length_c 7.792
_cell_angle_alpha 90.00
_cell_angle_beta 90.00
_cell_angle_gamma 90.00
loop_
_atom_site_label
_atom_site_fract_x
_atom_site_fract_y
_atom_site_fract_z
Li1 0.000 0.000 0.000
Eu1 0.250 0.250 0.750
Pu1 0.250 0.250 0.250
Pb1 0.000 0.000 0.500
# density of states at the Fermi level	24.29	states/eV/f.u.
# calculated total energy	-7.61	eV/atom
# formation energy	-0.05	eV per atom

# 4
# PBE Er12Ir3O5, relaxed
data_Er12Ir3O5
_space_group_name_H-M_alt 'I a -3 d'
_space_group_IT_number 230
_space_group_name_Hall '-I 4bd 2c 3'
_cell_length_a 14.979
_cell_length_b 14.979
_cell_length_c 14.979
_cell_angle_alpha 90.00
_cell_angle_beta 90.00
_cell_angle_gamma 90.00
loop_
_atom_site_label
_atom_site_fract_x
_atom_site_fract_y
_atom_site_fract_z
Er1 0.032 0.056 0.652
Ir1 0.000 0.250 0.125
O1 0.000 0.000 0.000
O2 0.000 0.250 0.375
# density of states at the Fermi level	10.97	states/eV/f.u.
# calculated total energy	-7.04	eV/atom

# 5
# PBE TlSb2Mo, relaxed
data_TlSb2Mo
_space_group_name_H-M_alt 'C 1 2/m 1'
_space_group_IT_number 12
_space_group_name_Hall '-C 2y'
_cell_length_a 5.855
_cell_length_b 3.373
_cell_length_c 10.965
_cell_angle_alpha 90.00
_cell_angle_beta 100.12
_cell_angle_gamma 90.00
loop_
_atom_site_label
_atom_site_fract_x
_atom_site_fract_y
_atom_site_fract_z
Tl1 0.000 0.000 0.000
Sb1 0.107 0.000 0.317
Mo1 0.000 0.500 0.500
# density of states at the Fermi level	3.47	states/eV/f.u.
# calculated total energy	-5.27	eV/atom

# 6
# PBE PaZn2Ru, relaxed
data_PaZn2Ru
_space_group_name_H-M_alt 'R -3 m'
_space_group_IT_number 166
_space_group_name_Hall '-R 3 2"'
_cell_length_a 2.8681
_cell_length_b 2.8681
_cell_length_c 31.2954
_cell_angle_alpha 90.00
_cell_angle_beta 90.00
_cell_angle_gamma 120.00
loop_
_atom_site_label
_atom_site_fract_x
_atom_site_fract_y
_atom_site_fract_z
Pa1 0.0000 0.0000 0.0000
Zn1 0.0000 0.0000 0.1006
Ru1 0.0000 0.0000 0.5000
# density of states at the Fermi level	5.51	states/eV/f.u.
# calculated total energy	-4.96	eV/atom
# formation energy	0.37	eV per atom

# 7
# PBE Ta3TeSe3, relaxed
data_Ta3TeSe3
_space_group_name_H-M_alt 'P 63/m m c'
_space_group_IT_number 194
_space_group_name_Hall '-P 6c 2c'
_cell_length_a 8.5756
_cell_length_b 8.5756
_cell_length_c 4.9458
_cell_angle_alpha 90.00
_cell_angle_beta 90.00
_cell_angle_gamma 120.00
loop_
_atom_site_label
_atom_site_fract_x
_atom_site_fract_y
_atom_site_fract_z
Ta1 0.1196 0.2392 0.2500
Te1 0.3333 0.6667 0.2500
Se1 0.2000 0.4000 0.7500
# density of states at the Fermi level	4.32	states/eV/f.u.
# calculated total energy	-7.31	eV/atom

# 8
# PBE LiTc2Ru, relaxed
data_LiTc2Ru
_space_group_name_H-M_alt 'P m m 2'
_space_group_IT_number 25
_space_group_name_Hall 'P 2 -2'
_cell_length_a 2.682
_cell_length_b 4.279
_cell_length_c 4.780
_cell_angle_alpha 90.00
_cell_angle_beta 90.00
_cell_angle_gamma 90.00
loop_
_atom_site_label
_atom_site_fract_x
_atom_site_fract_y
_atom_site_fract_z
Li1 0.000 0.000 0.000
Tc1 0.500 0.000 0.495
Tc2 0.500 0.500 0.177
Ru1 0.000 0.500 0.695
# density of states at the Fermi level	2.37	states/eV/f.u.
# calculated total energy	-7.81	eV/atom
# formation energy	0.17	eV per atom